1.
Density functional theory data (PBE) for a geometry-optimized CrSe2N2 structure.

The structure in CIF format:
```
data_CrSe2N2
_chemical_formula_sum 'Cr1 Se2 N2'
_space_group_name_H-M_alt 'P 1'
_space_group_IT_number 1
_cell_length_a 4.8073
_cell_length_b 4.8073
_cell_length_c 3.4936
_cell_angle_alpha 90.00
_cell_angle_beta 90.00
_cell_angle_gamma 90.00
loop_
_space_group_symop_operation_xyz
'x,y,z'
loop_
_atom_site_label
_atom_site_type_symbol
_atom_site_fract_x
_atom_site_fract_y
_atom_site_fract_z
_atom_site_occupancy
N1 N 0.5000 0.5000 0.5000 1
Se1 Se 0.0000 0.5000 0.0000 1
N2 N 0.0000 0.0000 0.5000 1
Cr1 Cr 0.0000 0.0000 0.0000 1
Se2 Se 0.5000 0.0000 0.0000 1
```

Final energy in eV per atom: -5.40
Calculated density in Mg/m³: 4.893
Uncorrected formation energy in eV per formula unit: 6.23



2.
Density functional theory data (PBE) for a geometry-optimized SrTaTe2 structure.

The structure in CIF format:
```
data_SrTaTe2
_chemical_formula_sum 'Sr1 Ta1 Te2'
_space_group_name_H-M_alt 'P 1'
_space_group_IT_number 1
_cell_length_a 5.4063
_cell_length_b 5.4063
_cell_length_c 5.4063
_cell_angle_alpha 60.00
_cell_angle_beta 60.00
_cell_angle_gamma 60.00
loop_
_space_group_symop_operation_xyz
'x,y,z'
loop_
_atom_site_label
_atom_site_type_symbol
_atom_site_fract_x
_atom_site_fract_y
_atom_site_fract_z
_atom_site_occupancy
Te1 Te 0.2500 0.2500 0.2500 1
Sr1 Sr 0.5000 0.5000 0.5000 1
Ta1 Ta 0.7500 0.7500 0.7500 1
Te2 Te 0.0000 0.0000 0.0000 1
```

Final energy in eV per atom: -4.47
Calculated density in Mg/m³: 7.784
Uncorrected formation energy in eV per formula unit: 1.93



3.
Density functional theory data (PBE) for a geometry-optimized NaTeW3 structure.

The structure in CIF format:
```
data_NaTeW3
_chemical_formula_sum 'Na1 Te1 W3'
_space_group_name_H-M_alt 'P 1'
_space_group_IT_number 1
_cell_length_a 4.6566
_cell_length_b 4.6566
_cell_length_c 4.6566
_cell_angle_alpha 90.00
_cell_angle_beta 90.00
_cell_angle_gamma 90.00
loop_
_space_group_symop_operation_xyz
'x,y,z'
loop_
_atom_site_label
_atom_site_type_symbol
_atom_site_fract_x
_atom_site_fract_y
_atom_site_fract_z
_atom_site_occupancy
W1 W 0.0000 0.0000 0.5000 1
Te1 Te 0.5000 0.5000 0.5000 1
Na1 Na 0.0000 0.0000 0.0000 1
W2 W 0.5000 0.0000 0.0000 1
W3 W 0.0000 0.5000 0.0000 1
```

Final energy in eV per atom: -5.61
Calculated density in Mg/m³: 11.546
Uncorrected formation energy in eV per formula unit: 15.29



4.
Density functional theory data (PBE) for a geometry-optimized Tb5Pr3Er3 structure.

The structure in CIF format:
```
data_Tb5Pr3Er3
_chemical_formula_sum 'Tb5 Pr3 Er3'
_space_group_name_H-M_alt 'P 1'
_space_group_IT_number 1
_cell_length_a 5.3793
_cell_length_b 9.7019
_cell_length_c 9.7019
_cell_angle_alpha 120.00
_cell_angle_beta 90.00
_cell_angle_gamma 90.00
loop_
_space_group_symop_operation_xyz
'x,y,z'
loop_
_atom_site_label
_atom_site_type_symbol
_atom_site_fract_x
_atom_site_fract_y
_atom_site_fract_z
_atom_site_occupancy
Tb1 Tb 0.5000 0.7359 0.0000 1
Er1 Er 0.0000 0.5404 0.0000 1
Er2 Er 0.0000 0.4596 0.4596 1
Er3 Er 0.0000 0.0000 0.5404 1
Tb2 Tb 0.5000 0.3333 0.6667 1
Pr1 Pr 0.5000 0.3630 0.0000 1
Tb3 Tb 0.5000 0.2641 0.2641 1
Tb4 Tb 0.5000 0.6667 0.3333 1
Tb5 Tb 0.5000 0.0000 0.7359 1
Pr2 Pr 0.5000 0.0000 0.3630 1
Pr3 Pr 0.5000 0.6370 0.6370 1
```

Final energy in eV per atom: -3.85
Calculated density in Mg/m³: 6.510
Energy of formation from the pure elements in eV/atom: 0.80



5.
Density functional theory data (PBE) for a geometry-optimized TiMo2HAu structure.

The structure in CIF format:
```
data_TiMo2HAu
_chemical_formula_sum 'Ti1 Mo2 H1 Au1'
_space_group_name_H-M_alt 'P 1'
_space_group_IT_number 1
_cell_length_a 3.9597
_cell_length_b 3.9597
_cell_length_c 4.2495
_cell_angle_alpha 90.00
_cell_angle_beta 90.00
_cell_angle_gamma 90.00
loop_
_space_group_symop_operation_xyz
'x,y,z'
loop_
_atom_site_label
_atom_site_type_symbol
_atom_site_fract_x
_atom_site_fract_y
_atom_site_fract_z
_atom_site_occupancy
Mo1 Mo 0.5000 0.0000 0.0000 1
Mo2 Mo 0.0000 0.5000 0.0000 1
Ti1 Ti 0.0000 0.0000 0.5000 1
Au1 Au 0.5000 0.5000 0.5000 1
H1 H 0.0000 0.0000 0.0000 1
```

Final energy in eV per atom: -7.32
Calculated density in Mg/m³: 10.909



6.
Density functional theory data (PBE) for a geometry-optimized LiPaCu2 structure.

The structure in CIF format:
```
data_LiPaCu2
_chemical_formula_sum 'Li1 Pa1 Cu2'
_space_group_name_H-M_alt 'P 1'
_space_group_IT_number 1
_cell_length_a 3.0110
_cell_length_b 4.8662
_cell_length_c 4.8662
_cell_angle_alpha 90.00
_cell_angle_beta 90.00
_cell_angle_gamma 90.00
loop_
_space_group_symop_operation_xyz
'x,y,z'
loop_
_atom_site_label
_atom_site_type_symbol
_atom_site_fract_x
_atom_site_fract_y
_atom_site_fract_z
_atom_site_occupancy
Li1 Li 0.5000 0.5000 0.5000 1
Cu1 Cu 0.0000 0.0000 0.5000 1
Pa1 Pa 0.5000 0.0000 0.0000 1
Cu2 Cu 0.0000 0.5000 0.0000 1
```

Final energy in eV per atom: -4.74
Calculated density in Mg/m³: 8.502
Energy of formation from the pure elements in eV/atom: 0.16



7.
Density functional theory data (PBE) for a geometry-optimized YMn2W structure.

The structure in CIF format:
```
data_YMn2W
_chemical_formula_sum 'Y1 Mn2 W1'
_space_group_name_H-M_alt 'P 1'
_space_group_IT_number 1
_cell_length_a 3.0937
_cell_length_b 3.0937
_cell_length_c 6.7101
_cell_angle_alpha 90.00
_cell_angle_beta 90.00
_cell_angle_gamma 90.00
loop_
_space_group_symop_operation_xyz
'x,y,z'
loop_
_atom_site_label
_atom_site_type_symbol
_atom_site_fract_x
_atom_site_fract_y
_atom_site_fract_z
_atom_site_occupancy
Y1 Y 0.5000 0.5000 0.7500 1
Mn1 Mn 0.0000 0.0000 0.4531 1
Mn2 Mn 0.0000 0.0000 0.0469 1
W1 W 0.5000 0.5000 0.2500 1
```

Final energy in eV per atom: -9.20
Calculated density in Mg/m³: 9.893
Energy of formation from the pure elements in eV/atom: 0.24



8.
Density functional theory data (PBE) for a geometry-optimized BaCuBi structure.

The structure in CIF format:
```
data_BaCuBi
_chemical_formula_sum 'Ba2 Cu2 Bi2'
_space_group_name_H-M_alt 'P 1'
_space_group_IT_number 1
_cell_length_a 4.6010
_cell_length_b 6.7667
_cell_length_c 6.8928
_cell_angle_alpha 89.21
_cell_angle_beta 89.99
_cell_angle_gamma 109.83
loop_
_space_group_symop_operation_xyz
'x,y,z'
loop_
_atom_site_label
_atom_site_type_symbol
_atom_site_fract_x
_atom_site_fract_y
_atom_site_fract_z
_atom_site_occupancy
Bi1 Bi 0.5793 0.6449 0.8739 1
Ba1 Ba 0.2993 0.0859 0.8616 1
Ba2 Ba 0.5843 0.6557 0.3726 1
Bi2 Bi 0.8638 0.2146 0.3808 1
Cu1 Cu 0.9882 0.4609 0.0564 1
Cu2 Cu 0.9901 0.4669 0.6958 1
```

Final energy in eV per atom: -3.70
Calculated density in Mg/m³: 6.743
Energy of formation from the pure elements in eV/atom: -0.40



9.
Density functional theory data (PBE) for a geometry-optimized NdHoI structure.

The structure in CIF format:
```
data_NdHoI
_chemical_formula_sum 'Nd1 Ho1 I1'
_space_group_name_H-M_alt 'P 1'
_space_group_IT_number 1
_cell_length_a 3.8699
_cell_length_b 3.8699
_cell_length_c 7.7123
_cell_angle_alpha 90.00
_cell_angle_beta 90.00
_cell_angle_gamma 120.00
loop_
_space_group_symop_operation_xyz
'x,y,z'
loop_
_atom_site_label
_atom_site_type_symbol
_atom_site_fract_x
_atom_site_fract_y
_atom_site_fract_z
_atom_site_occupancy
Ho1 Ho 0.0000 0.0000 0.0125 1
Nd1 Nd 0.3333 0.6667 0.6616 1
I1 I 0.6667 0.3333 0.3258 1
```

Final energy in eV per atom: -4.16
Calculated density in Mg/m³: 7.239
Uncorrected formation energy in eV per formula unit: -1.59



10.
Density functional theory data (PBE) for a geometry-optimized CrTe2As structure.

The structure in CIF format:
```
data_CrTe2As
_chemical_formula_sum 'Cr1 Te2 As1'
_space_group_name_H-M_alt 'P 1'
_space_group_IT_number 1
_cell_length_a 7.3880
_cell_length_b 7.3880
_cell_length_c 7.3880
_cell_angle_alpha 149.93
_cell_angle_beta 147.09
_cell_angle_gamma 45.17
loop_
_space_group_symop_operation_xyz
'x,y,z'
loop_
_atom_site_label
_atom_site_type_symbol
_atom_site_fract_x
_atom_site_fract_y
_atom_site_fract_z
_atom_site_occupancy
Cr1 Cr 0.2500 0.7500 0.5000 1
Te1 Te 0.3974 0.3974 0.0000 1
As1 As 0.7500 0.2500 0.5000 1
Te2 Te 0.1026 0.1026 0.0000 1
```

Final energy in eV per atom: -5.11
Calculated density in Mg/m³: 5.799
Uncorrected formation energy in eV per formula unit: 0.13



11.
Density functional theory data (PBE) for a geometry-optimized CaRhSN2 structure.

The structure in CIF format:
```
data_CaRhSN2
_chemical_formula_sum 'Ca1 Rh1 S1 N2'
_space_group_name_H-M_alt 'P 1'
_space_group_IT_number 1
_cell_length_a 3.8837
_cell_length_b 3.8837
_cell_length_c 5.1819
_cell_angle_alpha 90.00
_cell_angle_beta 90.00
_cell_angle_gamma 90.00
loop_
_space_group_symop_operation_xyz
'x,y,z'
loop_
_atom_site_label
_atom_site_type_symbol
_atom_site_fract_x
_atom_site_fract_y
_atom_site_fract_z
_atom_site_occupancy
Rh1 Rh 0.0000 0.0000 0.0000 1
N1 N 0.0000 0.5000 0.0000 1
S1 S 0.0000 0.0000 0.5000 1
Ca1 Ca 0.5000 0.5000 0.5000 1
N2 N 0.5000 0.0000 0.0000 1
```

Final energy in eV per atom: -5.89
Calculated density in Mg/m³: 4.314
Uncorrected formation energy in eV per formula unit: 0.70



12.
Density functional theory data (PBE) for a geometry-optimized In2BPt4 structure.

The structure in CIF format:
```
data_In2BPt4
_chemical_formula_sum 'In2 B1 Pt4'
_space_group_name_H-M_alt 'P 1'
_space_group_IT_number 1
_cell_length_a 4.1642
_cell_length_b 4.1642
_cell_length_c 7.7583
_cell_angle_alpha 74.43
_cell_angle_beta 74.43
_cell_angle_gamma 90.00
loop_
_space_group_symop_operation_xyz
'x,y,z'
loop_
_atom_site_label
_atom_site_type_symbol
_atom_site_fract_x
_atom_site_fract_y
_atom_site_fract_z
_atom_site_occupancy
In1 In 0.3379 0.3379 0.3242 1
Pt1 Pt 0.0000 0.5000 0.0000 1
B1 B 0.0000 0.0000 0.0000 1
Pt2 Pt 0.8516 0.8516 0.2968 1
Pt3 Pt 0.1484 0.1484 0.7032 1
In2 In 0.6621 0.6621 0.6758 1
Pt4 Pt 0.5000 0.0000 0.0000 1
```

Final energy in eV per atom: -5.39
Calculated density in Mg/m³: 13.618
Energy of formation from the pure elements in eV/atom: -0.20



13.
Density functional theory data (PBE) for a geometry-optimized Co2BTePd structure.

The structure in CIF format:
```
data_Co2BTePd
_chemical_formula_sum 'Co2 B1 Te1 Pd1'
_space_group_name_H-M_alt 'P 1'
_space_group_IT_number 1
_cell_length_a 4.6916
_cell_length_b 4.9910
_cell_length_c 4.6916
_cell_angle_alpha 90.00
_cell_angle_beta 90.00
_cell_angle_gamma 90.00
loop_
_space_group_symop_operation_xyz
'x,y,z'
loop_
_atom_site_label
_atom_site_type_symbol
_atom_site_fract_x
_atom_site_fract_y
_atom_site_fract_z
_atom_site_occupancy
Co1 Co 0.5000 0.0000 0.0000 1
Co2 Co 0.0000 0.0000 0.5000 1
Pd1 Pd 0.0000 0.5000 0.0000 1
B1 B 0.5000 0.5000 0.5000 1
Te1 Te 0.0000 0.0000 0.0000 1
```

Final energy in eV per atom: -4.14
Calculated density in Mg/m³: 5.482
Uncorrected formation energy in eV per formula unit: 8.53



no.,magnetic moment (μB per formula unit)
1,1.28
2,2.88
3,2.59
4,0.00
5,0.00
6,0.06
7,0.65
8,0.00
9,0.37
10,3.27
11,0.44
12,0.00
13,3.01